Entry 1:
Below is TaBe2Hg after structural relaxation, with properties calculated at the GGA-PBE level.

abc: 2.8969 2.8970 6.8181
angles: 90.00 90.00 90.00
Fractional coordinates of all 4 atoms:
Ta (0.5000, 0.5000, 0.7500)
Hg (0.5000, 0.5000, 0.2500)
Be (0.0000, 0.0000, 0.5030)
Be (0.0000, 0.0000, 0.9970)

Computed properties:
calculated formation energy: 0.28 eV/atom
VASP energy: -4.623 eV/atom
ρ: 11.60 g/cm³
space group: P4/mmm

---

Entry 2:
Below is Pr5Co2Hg after structural relaxation, with properties calculated at the GGA-PBE level.

abc: 7.9292 7.9292 8.8774
angles: 116.53 116.53 90.00
Fractional coordinates of all 16 atoms:
Pr (0.4701, 0.2944, 0.2645)
Pr (0.5299, 0.7056, 0.7355)
Co (0.3705, 0.8705, 0.0000)
Co (0.1295, 0.3705, 0.0000)
Pr (0.0299, 0.5299, 0.7355)
Pr (0.7944, 0.9701, 0.2645)
Pr (0.5000, 0.5000, 0.0000)
Hg (0.7500, 0.7500, 0.5000)
Co (0.6295, 0.1295, 0.0000)
Hg (0.2500, 0.2500, 0.5000)
Pr (0.9701, 0.4701, 0.2645)
Pr (0.0000, 0.0000, 0.0000)
Co (0.8705, 0.6295, 0.0000)
Pr (0.7056, 0.2056, 0.7355)
Pr (0.2056, 0.0299, 0.7355)
Pr (0.2944, 0.7944, 0.2645)

Computed properties:
calculated formation energy: -0.15 eV/atom
VASP energy: -4.952 eV/atom
ρ: 7.85 g/cm³
space group: I4/mcm

---

Entry 3:
Below is WCl after structural relaxation, with properties calculated at the GGA-PBE level.

abc: 7.6810 7.6810 5.0443
angles: 85.60 85.60 23.38
Fractional coordinates of all 6 atoms:
W (0.7346, 0.7346, 0.4802)
Cl (0.3851, 0.3851, 0.4940)
W (0.6473, 0.6473, 0.0338)
W (0.1077, 0.1077, 0.5200)
Cl (0.2747, 0.2747, 0.0160)
Cl (0.0173, 0.0173, 0.9559)

Computed properties:
VASP energy: -7.265 eV/atom
raw formation energy: 0.271 eV per formula unit
ρ: 9.28 g/cm³
space group: Cm

---

Entry 4:
Below is Sm3Zn2GaPt9 after structural relaxation, with properties calculated at the GGA-PBE level.

abc: 7.5455 7.5455 6.2435
angles: 90.00 90.00 120.00
Fractional coordinates of all 15 atoms:
Pt (0.8342, 0.6683, 0.6688)
Sm (0.0000, 0.0000, 0.0000)
Sm (0.6667, 0.3333, 0.3317)
Zn (0.3333, 0.6667, 0.1673)
Pt (0.5000, 0.5000, 0.0000)
Pt (0.8342, 0.1658, 0.6688)
Pt (0.3317, 0.1658, 0.6688)
Pt (0.6683, 0.8342, 0.3312)
Pt (0.0000, 0.5000, 0.0000)
Ga (0.0000, 0.0000, 0.5000)
Zn (0.6667, 0.3333, 0.8327)
Pt (0.1658, 0.8342, 0.3312)
Sm (0.3333, 0.6667, 0.6683)
Pt (0.5000, 0.0000, 0.0000)
Pt (0.1658, 0.3317, 0.3312)

Computed properties:
calculated formation energy: -0.47 eV/atom
VASP energy: -5.406 eV/atom
ρ: 12.99 g/cm³
space group: P-3m1

---

Entry 5:
Below is MgNpPb2S5 after structural relaxation, with properties calculated at the GGA-PBE level.

abc: 4.0703 8.7476 13.0819
angles: 90.00 90.00 103.45
Site moments in Bohr magnetons follow the coordinates.
Fractional coordinates of all 18 atoms:
Pb (0.1009, 0.2019, 0.6606)  0.00
S (0.3075, 0.6149, 0.3934)  -0.10
Np (0.2188, 0.4377, 0.0199)  3.26
S (0.9380, 0.8760, 0.5609)  -0.04
S (0.2728, 0.5455, 0.6566)  -0.09
S (0.4975, 0.9949, 0.7812)  -0.01
S (0.0620, 0.1240, 0.0609)  -0.04
S (0.6227, 0.2454, 0.5071)  -0.04
Np (0.7812, 0.5623, 0.5199)  3.26
Mg (0.5408, 0.0817, 0.9584)  0.00
Pb (0.1173, 0.2347, 0.2859)  0.00
Pb (0.8991, 0.7981, 0.1606)  0.00
S (0.3773, 0.7546, 0.0071)  -0.04
S (0.5025, 0.0051, 0.2812)  -0.01
Pb (0.8827, 0.7653, 0.7859)  0.00
Mg (0.4592, 0.9183, 0.4584)  0.00
S (0.7272, 0.4545, 0.1566)  -0.09
S (0.6925, 0.3851, 0.8934)  -0.10

Computed properties:
VASP energy: -5.665 eV/atom
raw formation energy: -8.396 eV per formula unit
ρ: 6.13 g/cm³
space group: Cmc2_1

---

Entry 6:
Below is Mo2RhW after structural relaxation, with properties calculated at the GGA-PBE level.

abc: 9.5849 9.5849 9.5849
angles: 16.60 16.60 16.60
Fractional coordinates of all 4 atoms:
Mo (0.5041, 0.5041, 0.5041)
Rh (0.2500, 0.2500, 0.2500)
W (0.7500, 0.7500, 0.7500)
Mo (0.9959, 0.9959, 0.9959)

Computed properties:
calculated formation energy: 0.19 eV/atom
VASP energy: -10.299 eV/atom
ρ: 12.68 g/cm³
space group: R-3m

---

Entry 7:
Below is Th5US6 after structural relaxation, with properties calculated at the GGA-PBE level.

abc: 6.9707 6.9595 6.9560
angles: 59.98 80.45 70.64
Site moments in Bohr magnetons follow the coordinates.
Fractional coordinates of all 12 atoms:
S (0.7549, 0.4086, 0.6730)  -0.01
S (0.2482, 0.2437, 0.0000)  -0.02
Th (0.0000, 0.6664, 0.6672)  0.03
Th (0.5000, 0.1695, 0.6610)  0.02
S (0.2451, 0.5914, 0.3270)  -0.01
Th (0.5000, 0.8305, 0.3390)  0.02
Th (0.0000, 0.3336, 0.3328)  0.03
S (0.7518, 0.7563, 0.0000)  -0.02
U (0.0000, 0.0000, 0.0000)  2.36
S (0.7549, 0.0815, 0.3270)  -0.01
Th (0.5000, 0.5000, 0.0000)  0.02
S (0.2451, 0.9185, 0.6730)  -0.01

Computed properties:
VASP energy: -7.849 eV/atom
raw formation energy: -21.037 eV per formula unit
ρ: 9.58 g/cm³
space group: C2/m

---

Entry 8:
Below is Li2CdGa6 after structural relaxation, with properties calculated at the GGA-PBE level.

abc: 3.3524 7.7753 7.7753
angles: 57.56 77.62 77.62
Fractional coordinates of all 9 atoms:
Ga (0.5001, 0.6775, 0.3225)
Ga (0.6758, 0.9967, 0.6443)
Cd (0.0000, 0.0000, 0.0000)
Ga (0.5001, 0.3225, 0.6775)
Ga (0.3241, 0.0033, 0.3557)
Li (0.1374, 0.3611, 0.3611)
Ga (0.6758, 0.6443, 0.9967)
Li (0.8628, 0.6389, 0.6389)
Ga (0.3241, 0.3557, 0.0033)

Computed properties:
calculated formation energy: -0.13 eV/atom
VASP energy: -2.675 eV/atom
ρ: 5.45 g/cm³
space group: C2/m